NpTl2Br4F2: optimized geometry, PBE.

Properties
Energy: -4.797 eV per atom
E_form (uncorrected): -1.674 eV/atom

POSCAR file:
```
NpTl2Br4F2
1.0
5.802 -0.399 -0.272
0.829 7.287 0.122
0.829 2.789 6.734
F Br Tl Np
2 4 2 1
Direct
0.759 0.881 0.881
0.241 0.119 0.119
0.281 0.140 0.627
0.281 0.627 0.140
0.719 0.860 0.373
0.719 0.373 0.860
0.234 0.666 0.666
0.766 0.334 0.334
0.500 0.000 0.000
```